# 1
Material: Pr3TeAs2
Method: DFT, GGA-PBE
State: optimized geometry

Geometry as CIF:
```
data_Pr3TeAs2
_space_group_name_H-M_alt 'I m m m'
_space_group_IT_number 71
_space_group_name_Hall '-I 2 2'
_cell_length_a 4.355
_cell_length_b 6.214
_cell_length_c 13.196
_cell_angle_alpha 90.00
_cell_angle_beta 90.00
_cell_angle_gamma 90.00
loop_
_atom_site_label
_atom_site_fract_x
_atom_site_fract_y
_atom_site_fract_z
Pr1 0.000 0.000 0.000
Pr2 0.000 0.000 0.319
Te1 0.000 0.500 0.000
As1 0.000 0.500 0.337
```

E_tot   -71.82 eV for the cell shown
Magnetization   0.01 μB per formula unit

# 2
Material: Pr4Te3As
Method: DFT, GGA-PBE
State: optimized geometry

Geometry as CIF:
```
data_Pr4Te3As
_space_group_name_H-M_alt 'C m m m'
_space_group_IT_number 65
_space_group_name_Hall '-C 2 2'
_cell_length_a 9.059
_cell_length_b 12.690
_cell_length_c 4.432
_cell_angle_alpha 90.00
_cell_angle_beta 90.00
_cell_angle_gamma 90.00
loop_
_atom_site_label
_atom_site_fract_x
_atom_site_fract_y
_atom_site_fract_z
Pr1 0.000 0.235 0.000
Pr2 0.225 0.000 0.500
Te1 0.000 0.500 0.000
Te2 0.250 0.250 0.500
As1 0.000 0.000 0.000
```

E_tot   -90.36 eV for the cell shown
Magnetization   0.00 μB per formula unit

# 3
Material: Pr3TeAs2
Method: DFT, GGA-PBE
State: optimized geometry

Geometry as CIF:
```
data_Pr3TeAs2
_space_group_name_H-M_alt 'P -3 m 1'
_space_group_IT_number 164
_space_group_name_Hall '-P 3 2"'
_cell_length_a 4.3576
_cell_length_b 4.3576
_cell_length_c 10.8745
_cell_angle_alpha 90.00
_cell_angle_beta 90.00
_cell_angle_gamma 120.00
loop_
_atom_site_label
_atom_site_fract_x
_atom_site_fract_y
_atom_site_fract_z
Pr1 0.0000 0.0000 0.0000
Pr2 0.3333 0.6667 0.3076
Te1 0.0000 0.0000 0.5000
As1 0.3333 0.6667 0.8391
```

E_tot   -36.06 eV for the cell shown
Magnetization   0.00 μB per formula unit

# 4
Material: Pr3ThAs4
Method: DFT, GGA-PBE
State: optimized geometry

Geometry as CIF:
```
data_Pr3ThAs4
_space_group_name_H-M_alt 'C m m m'
_space_group_IT_number 65
_space_group_name_Hall '-C 2 2'
_cell_length_a 8.587
_cell_length_b 12.134
_cell_length_c 4.295
_cell_angle_alpha 90.00
_cell_angle_beta 90.00
_cell_angle_gamma 90.00
loop_
_atom_site_label
_atom_site_fract_x
_atom_site_fract_y
_atom_site_fract_z
Pr1 0.000 0.000 0.000
Pr2 0.250 0.250 0.500
Th1 0.000 0.500 0.000
As1 0.000 0.253 0.000
As2 0.246 0.500 0.500
```

E_tot   -104.74 eV for the cell shown
Magnetization   0.01 μB per formula unit

# 5
Material: PrTlAs
Method: DFT, GGA-PBE
State: optimized geometry

Geometry as CIF:
```
data_PrTlAs
_space_group_name_H-M_alt 'F -4 3 m'
_space_group_IT_number 216
_space_group_name_Hall 'F -4 2 3'
_cell_length_a 7.170
_cell_length_b 7.170
_cell_length_c 7.170
_cell_angle_alpha 90.00
_cell_angle_beta 90.00
_cell_angle_gamma 90.00
loop_
_atom_site_label
_atom_site_fract_x
_atom_site_fract_y
_atom_site_fract_z
Pr1 0.000 0.000 0.000
Tl1 0.250 0.250 0.750
As1 0.000 0.000 0.500
```

E_tot   -49.08 eV for the cell shown
Magnetization   0.01 μB per formula unit

# 6
Material: Pr2TmAs3
Method: DFT, GGA-PBE
State: optimized geometry

Geometry as CIF:
```
data_Pr2TmAs3
_space_group_name_H-M_alt 'P -3 m 1'
_space_group_IT_number 164
_space_group_name_Hall '-P 3 2"'
_cell_length_a 4.2267
_cell_length_b 4.2267
_cell_length_c 10.3324
_cell_angle_alpha 90.00
_cell_angle_beta 90.00
_cell_angle_gamma 120.00
loop_
_atom_site_label
_atom_site_fract_x
_atom_site_fract_y
_atom_site_fract_z
Pr1 0.3333 0.6667 0.3270
Tm1 0.0000 0.0000 0.0000
As1 0.0000 0.0000 0.5000
As2 0.3333 0.6667 0.8466
```

E_tot   -36.91 eV for the cell shown
Magnetization   0.00 μB per formula unit

# 7
Material: Pr2YAs3
Method: DFT, GGA-PBE
State: optimized geometry

Geometry as CIF:
```
data_Pr2YAs3
_space_group_name_H-M_alt 'P -3 m 1'
_space_group_IT_number 164
_space_group_name_Hall '-P 3 2"'
_cell_length_a 4.2453
_cell_length_b 4.2453
_cell_length_c 10.3897
_cell_angle_alpha 90.00
_cell_angle_beta 90.00
_cell_angle_gamma 120.00
loop_
_atom_site_label
_atom_site_fract_x
_atom_site_fract_y
_atom_site_fract_z
Pr1 0.3333 0.6667 0.3287
Y1 0.0000 0.0000 0.0000
As1 0.0000 0.0000 0.5000
As2 0.3333 0.6667 0.8425
```

E_tot   -39.05 eV for the cell shown
Magnetization   0.00 μB per formula unit

# 8
Material: PrY2As3
Method: DFT, GGA-PBE
State: optimized geometry

Geometry as CIF:
```
data_PrY2As3
_space_group_name_H-M_alt 'P -3 m 1'
_space_group_IT_number 164
_space_group_name_Hall '-P 3 2"'
_cell_length_a 4.1843
_cell_length_b 4.1843
_cell_length_c 10.2349
_cell_angle_alpha 90.00
_cell_angle_beta 90.00
_cell_angle_gamma 120.00
loop_
_atom_site_label
_atom_site_fract_x
_atom_site_fract_y
_atom_site_fract_z
Pr1 0.0000 0.0000 0.0000
Y1 0.3333 0.6667 0.3378
As1 0.0000 0.0000 0.5000
As2 0.3333 0.6667 0.8239
```

E_tot   -40.84 eV for the cell shown
Magnetization   0.00 μB per formula unit

# 9
Material: PrYAs
Method: DFT, GGA-PBE
State: optimized geometry

Geometry as CIF:
```
data_PrYAs
_space_group_name_H-M_alt 'F -4 3 m'
_space_group_IT_number 216
_space_group_name_Hall 'F -4 2 3'
_cell_length_a 6.982
_cell_length_b 6.982
_cell_length_c 6.982
_cell_angle_alpha 90.00
_cell_angle_beta 90.00
_cell_angle_gamma 90.00
loop_
_atom_site_label
_atom_site_fract_x
_atom_site_fract_y
_atom_site_fract_z
Pr1 0.000 0.000 0.000
Y1 0.000 0.000 0.500
As1 0.250 0.250 0.250
```

E_tot   -73.20 eV for the cell shown
Magnetization   0.02 μB per formula unit

# 10
Material: Pr3Zn2As
Method: DFT, GGA-PBE
State: optimized geometry

Geometry as CIF:
```
data_Pr3Zn2As
_space_group_name_H-M_alt 'P 6/m m m'
_space_group_IT_number 191
_space_group_name_Hall '-P 6 2'
_cell_length_a 6.7467
_cell_length_b 6.7467
_cell_length_c 4.6054
_cell_angle_alpha 90.00
_cell_angle_beta 90.00
_cell_angle_gamma 120.00
loop_
_atom_site_label
_atom_site_fract_x
_atom_site_fract_y
_atom_site_fract_z
Pr1 0.0000 0.5000 0.0000
Zn1 0.3333 0.6667 0.5000
As1 0.0000 0.0000 0.5000
```

E_tot   -20.29 eV for the cell shown
Magnetization   0.02 μB per formula unit

# 11
Material: PrZrAs
Method: DFT, GGA-PBE
State: optimized geometry

Geometry as CIF:
```
data_PrZrAs
_space_group_name_H-M_alt 'F -4 3 m'
_space_group_IT_number 216
_space_group_name_Hall 'F -4 2 3'
_cell_length_a 7.148
_cell_length_b 7.148
_cell_length_c 7.148
_cell_angle_alpha 90.00
_cell_angle_beta 90.00
_cell_angle_gamma 90.00
loop_
_atom_site_label
_atom_site_fract_x
_atom_site_fract_y
_atom_site_fract_z
Pr1 0.000 0.000 0.000
Zr1 0.250 0.250 0.750
As1 0.250 0.250 0.250
```

E_tot   -65.75 eV for the cell shown
Magnetization   3.63 μB per formula unit

# 12
Material: PrZrAs
Method: DFT, GGA-PBE
State: optimized geometry

Geometry as CIF:
```
data_PrZrAs
_space_group_name_H-M_alt 'F -4 3 m'
_space_group_IT_number 216
_space_group_name_Hall 'F -4 2 3'
_cell_length_a 6.779
_cell_length_b 6.779
_cell_length_c 6.779
_cell_angle_alpha 90.00
_cell_angle_beta 90.00
_cell_angle_gamma 90.00
loop_
_atom_site_label
_atom_site_fract_x
_atom_site_fract_y
_atom_site_fract_z
Pr1 0.000 0.000 0.000
Zr1 0.000 0.000 0.500
As1 0.250 0.250 0.250
```

E_tot   -78.44 eV for the cell shown
Magnetization   0.26 μB per formula unit

- Which value of magnetization does entry 5 give?
  0.01 μB per formula unit